Computed, not measured: BHPd2 at its PBEsol-relaxed geometry at the SCAN level of DFT.

## Properties
D(E_F)	4.05	states/eV/cell
DFT total energy	-19.03	eV/atom
space group	I-42d (122)

Cell lengths 4.727, 4.727, 7.763 Å; angles 90.00, 90.00, 90.00 degrees
Element x y z (fractional)
B (0.000, 0.000, 0.000)
B (0.000, 0.500, 0.250)
B (0.500, 0.000, 0.750)
B (0.500, 0.500, 0.500)
H (0.000, 0.000, 0.500)
H (0.000, 0.500, 0.750)
H (0.500, 0.000, 0.250)
H (0.500, 0.500, 0.000)
Pd (0.218, 0.250, 0.625)
Pd (0.250, 0.718, 0.875)
Pd (0.250, 0.782, 0.375)
Pd (0.282, 0.250, 0.125)
Pd (0.718, 0.750, 0.125)
Pd (0.750, 0.218, 0.375)
Pd (0.750, 0.282, 0.875)
Pd (0.782, 0.750, 0.625)

=====

Computed, not measured: CrCdTeI2 at its PBEsol-relaxed geometry at the SCAN level of DFT.

## Properties
D(E_F)	3.46	states/eV/cell
DFT total energy	-31.55	eV/atom
space group	P4/mmm (123)
formation energy (no corrections)	34.0	kJ/mol of atoms

Cell lengths 5.673, 5.673, 5.620 Å; angles 90.00, 90.00, 90.00 degrees
Element x y z (fractional)
Cr (0.000, 0.000, 0.000)
Cd (0.500, 0.500, 0.500)
Te (0.500, 0.500, 0.000)
I (0.000, 0.500, 0.500)
I (0.500, 0.000, 0.500)

=====

Copy entry 1 word for word.
Computed, not measured: BHPd2 at its PBEsol-relaxed geometry at the SCAN level of DFT.

## Properties
D(E_F)	4.05	states/eV/cell
DFT total energy	-19.03	eV/atom
space group	I-42d (122)

Cell lengths 4.727, 4.727, 7.763 Å; angles 90.00, 90.00, 90.00 degrees
Element x y z (fractional)
B (0.000, 0.000, 0.000)
B (0.000, 0.500, 0.250)
B (0.500, 0.000, 0.750)
B (0.500, 0.500, 0.500)
H (0.000, 0.000, 0.500)
H (0.000, 0.500, 0.750)
H (0.500, 0.000, 0.250)
H (0.500, 0.500, 0.000)
Pd (0.218, 0.250, 0.625)
Pd (0.250, 0.718, 0.875)
Pd (0.250, 0.782, 0.375)
Pd (0.282, 0.250, 0.125)
Pd (0.718, 0.750, 0.125)
Pd (0.750, 0.218, 0.375)
Pd (0.750, 0.282, 0.875)
Pd (0.782, 0.750, 0.625)